[1]
## RuS (PBE)

Data for a relaxed RuS crystal.

Raw total energy, eV/atom: -6.381
Space group: Fm-3m
Magnetic moment, μB per formula unit: 1.0
Calculated volume, Å³/atom: 15.0

abc: 4.9297 4.9297 4.9297
angles: 90.00 90.00 90.00
Last column: magnetic moment on the atom in μB.
Element x y z (fractional)
Ru  0.5000  0.5000  0.5000  0.86
Ru  0.5000  0.0000  0.0000  0.86
Ru  0.0000  0.0000  0.5000  0.86
Ru  0.0000  0.5000  0.0000  0.86
S  0.0000  0.0000  0.0000  0.05
S  0.0000  0.5000  0.5000  0.05
S  0.5000  0.5000  0.0000  0.05
S  0.5000  0.0000  0.5000  0.05

[2]
## Co2IrCl (PBE)

Data for a relaxed Co2IrCl crystal.

Energy above the most stable polymorph in this dataset, meV per atom: 371
Raw total energy, eV/atom: -5.597
Space group: P4/mmm
Magnetic moment, μB per formula unit: 4.6
Calculated volume, Å³/atom: 13.9

abc: 2.7184 4.5246 4.5246
angles: 90.00 90.00 90.00
Last column: magnetic moment on the atom in μB.
Element x y z (fractional)
Co  0.0000  0.0000  0.0000  1.90
Co  0.0000  0.5000  0.5000  1.90
Ir  0.5000  0.5000  0.0000  0.57
Cl  0.5000  0.0000  0.5000  0.21

[3]
## Cs2YIn (PBE)

Data for a relaxed Cs2YIn crystal.

Formation energy, eV per atom: 0.658
Raw total energy, eV/atom: -2.069
Space group: Fm-3m
Magnetic moment, μB per formula unit: 0.0
Calculated volume, Å³/atom: 48.9

abc: 6.5164 6.5164 6.5164
angles: 60.00 60.00 60.00
Element x y z (fractional)
Cs  0.2500  0.2500  0.2500
Cs  0.7500  0.7500  0.7500
Y  0.0000  0.0000  0.0000
In  0.5000  0.5000  0.5000